Entry 1:
Entry from Alexandria: a geometry-optimized YHf2Be2 structure (PBE).

It has space group I4/mmm (No. 139), with a = 4.3434 Å, b = 4.3434 Å, c = 10.6309 Å, α = 90.00°, β = 90.00° and γ = 90.00°. The inequivalent atoms are Y at (0.0000, 0.0000, 0.0000), Hf at (0.0000, 0.0000, 0.3560) and Be at (0.0000, 0.5000, 0.2500).

The distance to the lowest polymorph of the same formula comes out at 249 meV per atom. The formation energy comes out at 0.37 eV per atom. The magnetic moment is 0.000 μB/atom.


Entry 2:
Entry from Alexandria: a geometry-optimized Y2HfBe2 structure (PBE).

It has space group P4/mbm (No. 127), with a = 7.5467 Å, b = 7.5467 Å, c = 3.6950 Å, α = 90.00°, β = 90.00° and γ = 90.00°. The inequivalent atoms are Y at (0.1767, 0.3233, 0.0000), Hf at (0.0000, 0.0000, 0.5000) and Be at (0.1145, 0.6145, 0.5000).

The formation energy comes out at 0.21 eV per atom. The magnetic moment is 0.000 μB/atom.


Entry 3:
Entry from Alexandria: a geometry-optimized Y3HfBe structure (PBE).

It has space group Pm-3m (No. 221), with a = 5.1988 Å, b = 5.1988 Å, c = 5.1988 Å, α = 90.00°, β = 90.00° and γ = 90.00°. The inequivalent atoms are Y at (0.0000, 0.0000, 0.5000), Hf at (0.5000, 0.5000, 0.5000) and Be at (0.0000, 0.0000, 0.0000).

The distance to the lowest polymorph of the same formula comes out at 0 meV per atom. The formation energy comes out at 0.53 eV per atom. The magnetic moment is 0.193 μB/atom.